#P
Sr2Al2Se: optimized geometry, GGA-PBE.

a = 7.753 Å, b = 7.753 Å, c = 4.862 Å
α = 90.00°, β = 90.00°, γ = 90.00°
Fractional coordinates of all 10 atoms:
Sr  0.173  0.673  0.500
Sr  0.673  0.827  0.500
Sr  0.827  0.327  0.500
Sr  0.327  0.173  0.500
Al  0.377  0.877  0.000
Al  0.877  0.623  0.000
Al  0.623  0.123  0.000
Al  0.123  0.377  0.000
Se  0.000  0.000  0.000
Se  0.500  0.500  0.000

SG = P4/mbm
DOS(E_F) = 1.9 states/eV/f.u.



#Q
Sr2Al2Se: optimized geometry, GGA-PBE.

a = 6.415 Å, b = 6.415 Å, c = 5.971 Å
α = 57.51°, β = 57.51°, γ = 90.00°
Fractional coordinates of all 5 atoms:
Sr  0.750  0.250  0.500
Sr  0.250  0.750  0.500
Al  0.343  0.343  0.315
Al  0.657  0.657  0.685
Se  0.000  0.000  0.000

SG = I4/mmm
DOS(E_F) = 0.1 states/eV/f.u.



Question: which arrangement is favored energetically? Ranking from most to least stable: #P, #Q.



#P
TaAlSe: optimized geometry, GGA-PBE.

a = 3.219 Å, b = 3.219 Å, c = 6.142 Å
α = 90.00°, β = 90.00°, γ = 120.00°
Fractional coordinates of all 3 atoms:
Al  0.000  0.000  0.989
Se  0.333  0.667  0.359
Ta  0.667  0.333  0.652

SG = P3m1
DOS(E_F) = 1.0 states/eV/f.u.



#Q
TaAlSe: optimized geometry, GGA-PBE.

a = 4.449 Å, b = 4.449 Å, c = 3.183 Å
α = 90.00°, β = 90.00°, γ = 120.00°
Fractional coordinates of all 3 atoms:
Al  0.000  0.000  0.000
Se  0.667  0.333  0.500
Ta  0.333  0.667  0.500

SG = P-6m2
DOS(E_F) = 0.9 states/eV/f.u.



#R
TaAlSe: optimized geometry, GGA-PBE.

a = 3.923 Å, b = 3.923 Å, c = 10.090 Å
α = 78.79°, β = 78.79°, γ = 60.00°
Fractional coordinates of all 6 atoms:
Ta  0.558  0.558  0.326
Ta  0.442  0.442  0.674
Se  0.276  0.276  0.171
Se  0.724  0.724  0.829
Al  0.836  0.836  0.493
Al  0.164  0.164  0.507

SG = R-3m
DOS(E_F) = 0.8 states/eV/f.u.



#S
TaAlSe: optimized geometry, GGA-PBE.

a = 4.473 Å, b = 4.473 Å, c = 4.473 Å
α = 60.00°, β = 60.00°, γ = 60.00°
Fractional coordinates of all 3 atoms:
Al  0.000  0.000  0.000
Se  0.500  0.500  0.500
Ta  0.750  0.750  0.750

SG = F-43m
DOS(E_F) = 3.7 states/eV/f.u.



Question: which arrangement is favored energetically? Ranking from most to least stable: #P, #R, #Q, #S.



#P
TaAlSe: optimized geometry, GGA-PBE.

a = 4.340 Å, b = 4.340 Å, c = 4.340 Å
α = 60.00°, β = 60.00°, γ = 60.00°
Fractional coordinates of all 3 atoms:
Al  0.500  0.500  0.500
Se  0.750  0.750  0.750
Ta  0.000  0.000  0.000

SG = F-43m
DOS(E_F) = 0.5 states/eV/f.u.



#Q
TaAlSe: optimized geometry, GGA-PBE.

a = 5.425 Å, b = 5.425 Å, c = 3.283 Å
α = 72.39°, β = 72.38°, γ = 35.23°
Fractional coordinates of all 3 atoms:
Al  0.004  0.004  0.996
Se  0.313  0.313  0.687
Ta  0.683  0.683  0.317

SG = I4mm
DOS(E_F) = 1.1 states/eV/f.u.



Question: which arrangement is favored energetically? Ranking from most to least stable: #Q, #P.



#P
Ta2AlSe: optimized geometry, GGA-PBE.

a = 3.362 Å, b = 3.362 Å, c = 6.277 Å
α = 90.00°, β = 90.00°, γ = 90.00°
Fractional coordinates of all 4 atoms:
Al  0.000  0.000  0.475
Se  0.500  0.500  0.786
Ta  0.000  0.000  0.985
Ta  0.500  0.500  0.254

SG = P4mm
DOS(E_F) = 2.7 states/eV/f.u.



#Q
Ta2AlSe: optimized geometry, GGA-PBE.

a = 4.898 Å, b = 4.898 Å, c = 4.769 Å
α = 83.60°, β = 83.60°, γ = 38.29°
Fractional coordinates of all 4 atoms:
Al  0.750  0.750  0.750
Se  0.250  0.250  0.250
Ta  0.001  0.001  0.994
Ta  0.499  0.499  0.506

SG = C2/m
DOS(E_F) = 2.7 states/eV/f.u.



#R
Ta2AlSe: optimized geometry, GGA-PBE.

a = 3.268 Å, b = 4.860 Å, c = 4.394 Å
α = 90.00°, β = 90.00°, γ = 90.00°
Fractional coordinates of all 4 atoms:
Al  0.500  0.000  0.500
Se  0.000  0.500  0.500
Ta  0.000  0.000  0.000
Ta  0.500  0.500  0.000

SG = Pmmm
DOS(E_F) = 2.3 states/eV/f.u.



#S
Ta2AlSe: optimized geometry, GGA-PBE.

a = 4.830 Å, b = 3.040 Å, c = 5.145 Å
α = 73.02°, β = 90.00°, γ = 90.00°
Fractional coordinates of all 4 atoms:
Al  0.000  0.565  0.492
Se  0.500  0.910  0.801
Ta  0.000  0.833  0.967
Ta  0.500  0.192  0.240

SG = Pm
DOS(E_F) = 1.9 states/eV/f.u.



Question: which arrangement is favored energetically? Ranking from most to least stable: #P, #S, #Q, #R.



#P
Ta2AlSe: optimized geometry, GGA-PBE.

a = 3.960 Å, b = 3.960 Å, c = 9.990 Å
α = 78.57°, β = 78.57°, γ = 90.00°
Fractional coordinates of all 8 atoms:
Al  0.500  0.500  0.000
Al  0.250  0.750  0.500
Se  0.000  0.000  0.000
Se  0.750  0.250  0.500
Ta  0.619  0.125  0.250
Ta  0.131  0.625  0.250
Ta  0.375  0.381  0.750
Ta  0.875  0.869  0.750

SG = I-42d
DOS(E_F) = 4.1 states/eV/f.u.



#Q
Ta2AlSe: optimized geometry, GGA-PBE.

a = 5.060 Å, b = 5.060 Å, c = 4.768 Å
α = 75.83°, β = 75.83°, γ = 35.58°
Fractional coordinates of all 4 atoms:
Al  0.504  0.504  0.547
Se  0.250  0.250  0.198
Ta  0.984  0.984  0.057
Ta  0.762  0.762  0.698

SG = Cm
DOS(E_F) = 2.1 states/eV/f.u.



#R
Ta2AlSe: optimized geometry, GGA-PBE.

a = 2.965 Å, b = 2.965 Å, c = 8.995 Å
α = 90.00°, β = 90.00°, γ = 104.64°
Fractional coordinates of all 4 atoms:
Al  0.000  0.000  0.469
Se  0.500  0.500  0.788
Ta  0.000  0.000  0.999
Ta  0.500  0.500  0.244

SG = Cmm2
DOS(E_F) = 2.9 states/eV/f.u.



Question: which arrangement is favored energetically? Ranking from most to least stable: #Q, #R, #P.



#P
Ta2AlSe: optimized geometry, GGA-PBE.

a = 8.815 Å, b = 8.815 Å, c = 8.815 Å
α = 20.02°, β = 20.02°, γ = 20.02°
Fractional coordinates of all 4 atoms:
Al  0.250  0.250  0.250
Se  0.750  0.750  0.750
Ta  0.005  0.005  0.005
Ta  0.495  0.495  0.495

SG = R-3m
DOS(E_F) = 1.5 states/eV/f.u.



#Q
Ta2AlSe: optimized geometry, GGA-PBE.

a = 4.638 Å, b = 4.638 Å, c = 4.638 Å
α = 60.00°, β = 60.00°, γ = 60.00°
Fractional coordinates of all 4 atoms:
Al  0.500  0.500  0.500
Se  0.750  0.750  0.750
Ta  0.000  0.000  0.000
Ta  0.250  0.250  0.250

SG = F-43m
DOS(E_F) = 6.4 states/eV/f.u.



Question: which arrangement is favored energetically? Ranking from most to least stable: #P, #Q.